Entry 1:
# GGA-PBE TlHg3GeS4, relaxed
# Crystal system: cubic
data_TlHg3GeS4
_chemical_formula_sum 'Tl1 Hg3 Ge1 S4'
_cell_length_a 6.520
_cell_length_b 6.520
_cell_length_c 6.520
_cell_angle_alpha 90.00
_cell_angle_beta 90.00
_cell_angle_gamma 90.00
_symmetry_space_group_name_H-M 'P -4 3 m'
_symmetry_Int_Tables_number 215
_symmetry_space_group_name_Hall 'P -4 2 3'
loop_
_atom_site_label
_atom_site_type_symbol
_atom_site_fract_x
_atom_site_fract_y
_atom_site_fract_z
_atom_site_occupancy
Tl1 Tl 0.000 0.000 0.000 1
Hg1 Hg 0.000 0.500 0.500 1
Ge1 Ge 0.500 0.500 0.500 1
S1 S 0.275 0.275 0.275 1

=====

Entry 2:
# GGA-PBE TlHg3GeS4, relaxed
# Crystal system: monoclinic
data_TlHg3GeS4
_chemical_formula_sum 'Tl2 Hg6 Ge2 S8'
_cell_length_a 6.874
_cell_length_b 7.051
_cell_length_c 10.680
_cell_angle_alpha 90.00
_cell_angle_beta 95.16
_cell_angle_gamma 90.00
_symmetry_space_group_name_H-M 'P 1 21/m 1'
_symmetry_Int_Tables_number 11
loop_
_symmetry_equiv_pos_as_xyz
'x,y,z'
'-x,-y,-z'
'-x,y+1/2,-z'
'x,-y+1/2,z'
loop_
_atom_site_label
_atom_site_type_symbol
_atom_site_fract_x
_atom_site_fract_y
_atom_site_fract_z
_atom_site_occupancy
Tl1 Tl 0.142 0.250 0.132 1
Hg1 Hg 0.251 0.554 0.524 1
Hg2 Hg 0.458 0.250 0.824 1
Ge1 Ge 0.033 0.750 0.280 1
S1 S 0.187 0.001 0.768 1
S2 S 0.201 0.750 0.100 1
S3 S 0.319 0.250 0.412 1

=====

Entry 3:
# GGA-PBE ZnHgGeS3, relaxed
# Crystal system: orthorhombic
data_ZnHgGeS3
_chemical_formula_sum 'Zn4 Hg4 Ge4 S12'
_cell_length_a 3.644
_cell_length_b 14.463
_cell_length_c 10.000
_cell_angle_alpha 90.00
_cell_angle_beta 90.00
_cell_angle_gamma 90.00
_symmetry_space_group_name_H-M 'C m c m'
_symmetry_Int_Tables_number 63
_symmetry_space_group_name_Hall '-C 2c 2'
loop_
_atom_site_label
_atom_site_type_symbol
_atom_site_fract_x
_atom_site_fract_y
_atom_site_fract_z
_atom_site_occupancy
Zn1 Zn 0.000 0.000 0.000 1
Hg1 Hg 0.000 0.338 0.250 1
Ge1 Ge 0.000 0.341 0.750 1
S1 S 0.000 0.050 0.250 1
S2 S 0.000 0.382 0.018 1

=====

Entry 4:
# GGA-PBE ZnHgGeS3, relaxed
# Crystal system: orthorhombic
data_ZnHgGeS3
_chemical_formula_sum 'Zn4 Hg4 Ge4 S12'
_cell_length_a 3.717
_cell_length_b 12.256
_cell_length_c 11.673
_cell_angle_alpha 90.00
_cell_angle_beta 90.00
_cell_angle_gamma 90.00
_symmetry_space_group_name_H-M 'C m c m'
_symmetry_Int_Tables_number 63
_symmetry_space_group_name_Hall '-C 2c 2'
loop_
_atom_site_label
_atom_site_type_symbol
_atom_site_fract_x
_atom_site_fract_y
_atom_site_fract_z
_atom_site_occupancy
Zn1 Zn 0.000 0.004 0.250 1
Hg1 Hg 0.000 0.500 0.000 1
Ge1 Ge 0.000 0.277 0.750 1
S1 S 0.000 0.128 0.097 1
S2 S 0.000 0.383 0.250 1

=====

Entry 5:
# GGA-PBE HgGeSb2, relaxed
# Crystal system: cubic
data_HgGeSb2
_chemical_formula_sum 'Hg4 Ge4 Sb8'
_cell_length_a 7.396
_cell_length_b 7.396
_cell_length_c 7.396
_cell_angle_alpha 90.00
_cell_angle_beta 90.00
_cell_angle_gamma 90.00
_symmetry_space_group_name_H-M 'F -4 3 m'
_symmetry_Int_Tables_number 216
_symmetry_space_group_name_Hall 'F -4 2 3'
loop_
_atom_site_label
_atom_site_type_symbol
_atom_site_fract_x
_atom_site_fract_y
_atom_site_fract_z
_atom_site_occupancy
Hg1 Hg 0.000 0.000 0.000 1
Ge1 Ge 0.250 0.250 0.750 1
Sb1 Sb 0.000 0.000 0.500 1
Sb2 Sb 0.250 0.250 0.250 1

=====

Entry 6:
# GGA-PBE ScHgGe2, relaxed
# Crystal system: cubic
data_ScHgGe2
_chemical_formula_sum 'Sc4 Hg4 Ge8'
_cell_length_a 6.938
_cell_length_b 6.938
_cell_length_c 6.938
_cell_angle_alpha 90.00
_cell_angle_beta 90.00
_cell_angle_gamma 90.00
_symmetry_space_group_name_H-M 'F -4 3 m'
_symmetry_Int_Tables_number 216
_symmetry_space_group_name_Hall 'F -4 2 3'
loop_
_atom_site_label
_atom_site_type_symbol
_atom_site_fract_x
_atom_site_fract_y
_atom_site_fract_z
_atom_site_occupancy
Sc1 Sc 0.000 0.000 0.000 1
Hg1 Hg 0.250 0.250 0.250 1
Ge1 Ge 0.000 0.000 0.500 1
Ge2 Ge 0.250 0.250 0.750 1

=====

Entry 7:
# GGA-PBE ScHgGe, relaxed
# Crystal system: cubic
data_ScHgGe
_chemical_formula_sum 'Sc4 Hg4 Ge4'
_cell_length_a 6.453
_cell_length_b 6.453
_cell_length_c 6.453
_cell_angle_alpha 90.00
_cell_angle_beta 90.00
_cell_angle_gamma 90.00
_symmetry_space_group_name_H-M 'F -4 3 m'
_symmetry_Int_Tables_number 216
_symmetry_space_group_name_Hall 'F -4 2 3'
loop_
_atom_site_label
_atom_site_type_symbol
_atom_site_fract_x
_atom_site_fract_y
_atom_site_fract_z
_atom_site_occupancy
Sc1 Sc 0.000 0.000 0.000 1
Hg1 Hg 0.000 0.000 0.500 1
Ge1 Ge 0.250 0.250 0.750 1

=====

Entry 8:
# GGA-PBE ScHgGe, relaxed
# Crystal system: cubic
data_ScHgGe
_chemical_formula_sum 'Sc4 Hg4 Ge4'
_cell_length_a 6.575
_cell_length_b 6.575
_cell_length_c 6.575
_cell_angle_alpha 90.00
_cell_angle_beta 90.00
_cell_angle_gamma 90.00
_symmetry_space_group_name_H-M 'F -4 3 m'
_symmetry_Int_Tables_number 216
_symmetry_space_group_name_Hall 'F -4 2 3'
loop_
_atom_site_label
_atom_site_type_symbol
_atom_site_fract_x
_atom_site_fract_y
_atom_site_fract_z
_atom_site_occupancy
Sc1 Sc 0.000 0.000 0.000 1
Hg1 Hg 0.250 0.250 0.250 1
Ge1 Ge 0.250 0.250 0.750 1

=====

| no. | total DFT energy (no corrections) (eV/atom) |
| --- | --- |
| 1 | -2.70 |
| 2 | -2.79 |
| 3 | -3.31 |
| 4 | -3.26 |
| 5 | -3.01 |
| 6 | -4.01 |
| 7 | -3.96 |
| 8 | -3.92 |